Computed, not measured: ScCrSe3 after structural relaxation at the PBE level of DFT.

- formation energy without anion corrections (eV per atom) = -0.17
- N(E_F) (states/eV per atom) = 1.072

Lattice parameters (Å, degrees): 5.1284 5.1284 5.1284 90.00 90.00 90.00
Space group Pm-3m (No. 221)
Inequivalent atoms, fractional coordinates:
1 Sc 0.0000 0.0000 0.0000 x1
2 Cr 0.5000 0.5000 0.5000 x1
3 Se 0.0000 0.0000 0.5000 x3